[1]
4
Lattice="-5.113 1.704 4.205 -2.837 -2.684 5.610 5.590 1.870 -3.462" Properties=species:S:1:pos:R:3 comment="CaRhSe2, relaxed, DFT PBE-GGA" formation_energy_uncorrected_kj_per_mol_fu=-284 m_tot_mub_per_atom=0.000 e_above_lowest_polymorph_mev_per_atom=176 final_energy_ev_per_atom=-4.82 volume_a3_per_atom=20.9 pbc="T T T"
Ca -3.642 -0.449 4.497
Rh -0.281 -0.611 3.120
Se -0.456 -0.056 0.564
Se -1.955 1.517 3.080

[2]
4
Lattice="-0.669 -2.241 4.663 3.384 -3.600 1.673 3.262 1.107 3.918" Properties=species:S:1:pos:R:3 comment="SmLuScAl, relaxed, DFT PBE-GGA" m_tot_mub_per_atom=0.001 e_form_ev_per_atom=-0.0809 final_energy_ev_per_atom=-4.91 volume_a3_per_atom=25.1 pbc="T T T"
Sc 0.000 0.000 0.000
Lu 4.483 -3.551 7.690
Al 1.494 -1.184 2.563
Sm 2.988 -2.367 5.127

[3]
8
Lattice="9.225 0.008 0.176 4.610 7.306 -0.198 4.541 2.346 3.717" Properties=species:S:1:pos:R:3 comment="Y6HoIn, relaxed, DFT PBE-GGA" m_tot_mub_per_atom=0.000 e_form_ev_per_atom=-0.0188 e_above_lowest_polymorph_mev_per_atom=98 final_energy_ev_per_atom=-5.78 volume_a3_per_atom=31.3 pbc="T T T"
Y 5.834 5.107 2.695
Y 14.784 8.782 2.677
Y 6.933 2.197 0.726
Y 3.591 0.879 1.019
Y 12.541 4.554 1.001
Y 11.442 7.464 2.970
Ho 9.187 4.831 1.848
In 0.000 0.000 0.000

[4]
12
Lattice="3.368 0.000 0.000 -1.684 2.917 0.000 0.000 0.000 15.659" Properties=species:S:1:pos:R:3 comment="MgBeHS, relaxed, DFT PBE-GGA" m_tot_mub_per_atom=0.000 e_above_lowest_polymorph_mev_per_atom=33 final_energy_ev_per_atom=-3.55 volume_a3_per_atom=12.8 pbc="T T T"
Mg 0.000 0.000 7.249
Mg 0.000 1.945 2.029
Mg 1.684 0.972 12.468
Be 0.000 0.000 10.142
Be 0.000 1.945 4.922
Be 1.684 0.972 15.361
H 0.000 0.000 11.622
H 0.000 1.945 6.402
H 1.684 0.972 1.183
S 0.000 0.000 14.516
S 0.000 1.945 9.296
S 1.684 0.972 4.076

[5]
3
Lattice="2.978 0.000 0.000 0.000 2.978 0.000 -1.489 -1.489 6.428" Properties=species:S:1:pos:R:3 comment="UAlAu, relaxed, DFT PBE-GGA" m_tot_mub_per_atom=0.760 e_form_ev_per_atom=-0.1824 final_energy_ev_per_atom=-6.29 volume_a3_per_atom=19.0 pbc="T T T"
Au 1.489 1.489 2.384
U 1.489 1.489 6.368
Al 0.000 0.000 4.105

[6]
6
Lattice="-2.342 5.207 -0.964 -4.536 -1.466 3.102 2.923 1.638 5.049" Properties=species:S:1:pos:R:3 comment="CsHgH, relaxed, DFT PBE-GGA" m_tot_mub_per_atom=0.000 e_above_lowest_polymorph_mev_per_atom=32 final_energy_ev_per_atom=-1.60 volume_a3_per_atom=33.1 pbc="T T T"
Cs -0.295 1.693 2.976
Cs -3.660 3.686 4.211
Hg 0.250 4.683 5.185
Hg -4.205 0.695 2.002
H -0.949 4.730 3.455
H -3.006 0.648 3.732